Record 1
PBE-GGA Sr4Pd2F, optimized geometry; energy relative to the elements, uncorrected = -1111 meV/atom; Fermi-level density of states = 0.50 states/eV/atom; energy = -0.2810 Ry/atom
1.0
4.9802 0.0000 0.0000
0.0000 4.9802 0.0000
-2.4901 -2.4901 8.3078
F Sr Pd
1 4 2
direct
0.0000 0.0000 0.0000 F
0.5000 0.0000 0.0000 Sr
0.1890 0.1890 0.3780 Sr
0.0000 0.5000 0.0000 Sr
0.8110 0.8110 0.6220 Sr
0.3752 0.3752 0.7504 Pd
0.6248 0.6248 0.2496 Pd

Record 2
PBE-GGA Rb3Cd2Pb, optimized geometry; Fermi-level density of states = 0.38 states/eV/atom; energy = -0.1076 Ry/atom
1.0
8.1719 0.3938 1.3756
0.0080 8.1814 1.3756
-0.0561 -0.0588 9.0508
Rb Pb Cd
6 2 4
direct
0.2567 0.1242 0.5048 Rb
0.8758 0.7433 0.9952 Rb
0.7433 0.8758 0.4952 Rb
0.3605 0.6395 0.2500 Rb
0.6395 0.3605 0.7500 Rb
0.1242 0.2567 0.0048 Rb
0.6995 0.3005 0.2500 Pb
0.3005 0.6995 0.7500 Pb
0.4522 0.9343 0.8756 Cd
0.0657 0.5478 0.6244 Cd
0.5478 0.0657 0.1244 Cd
0.9343 0.4522 0.3756 Cd

Record 3
PBE-GGA NaScSn, optimized geometry; Fermi-level density of states = 0.39 states/eV/atom; energy = -0.3075 Ry/atom
1.0
4.3293 -2.4995 0.0000
0.0000 4.9991 0.0000
0.0000 0.0000 6.7921
Sn Sc Na
2 2 2
direct
0.0000 0.0000 0.4194 Sn
0.3333 0.6667 0.8297 Sn
0.3333 0.6667 0.3653 Sc
0.6667 0.3333 0.6358 Sc
0.6667 0.3333 0.1200 Na
0.0000 0.0000 0.9461 Na

Record 4
PBE-GGA InTe2Mo2, optimized geometry; energy relative to the elements, uncorrected = 400 meV/atom; Fermi-level density of states = 0.92 states/eV/atom; energy = -0.4216 Ry/atom; distance to the lowest polymorph of the same formula = 0.0966 eV/atom
1.0
-6.5293 -2.9588 3.0263
3.1495 0.3200 7.1079
-1.2436 3.1622 0.4087
Te In Mo
4 2 4
direct
0.1466 0.6466 0.5000 Te
0.3534 0.1466 0.5000 Te
0.6466 0.8534 0.5000 Te
0.8534 0.3534 0.5000 Te
0.0000 0.0000 0.0000 In
0.5000 0.5000 0.0000 In
0.1459 0.3541 0.0000 Mo
0.6459 0.1459 0.0000 Mo
0.3541 0.8541 0.0000 Mo
0.8541 0.6459 0.0000 Mo

Look up the Fermi-level density of states of the third one. 0.39 states/eV/atom